Density functional theory data (PBE-GGA) for an optimized crystal structure of CaAcPt.

a = 6.027 Å, b = 4.540 Å, c = 7.757 Å
α = 90.00°, β = 106.75°, γ = 90.00°
Fractional coordinates of all 6 atoms:
Ca (0.232, 0.250, 0.071)
Ca (0.768, 0.750, 0.929)
Ac (0.277, 0.250, 0.581)
Ac (0.723, 0.750, 0.419)
Pt (0.180, 0.750, 0.304)
Pt (0.820, 0.250, 0.696)

Output
SG ... P2_1/m, No. 11
Offset from the most stable computed form ... 33 meV/atom
ρ ... 7553 kg/m3

***

Density functional theory data (PBE-GGA) for an optimized crystal structure of Ca2AcPt.

a = 3.655 Å, b = 3.655 Å, c = 9.469 Å
α = 90.00°, β = 90.00°, γ = 90.00°
Fractional coordinates of all 4 atoms:
Ca (0.000, 0.000, 0.172)
Ca (0.000, 0.000, 0.828)
Ac (0.500, 0.500, 0.500)
Pt (0.500, 0.500, 0.000)

Output
SG ... P4/mmm, No. 123
Offset from the most stable computed form ... 174 meV/atom
ρ ... 6594 kg/m3

***

Density functional theory data (PBE-GGA) for an optimized crystal structure of Ca2AcPt.

a = 6.887 Å, b = 6.887 Å, c = 9.759 Å
α = 90.00°, β = 90.00°, γ = 144.88°
Fractional coordinates of all 8 atoms:
Ca (0.152, 0.848, 0.569)
Ca (0.152, 0.848, 0.931)
Ca (0.848, 0.152, 0.069)
Ca (0.848, 0.152, 0.431)
Ac (0.424, 0.576, 0.750)
Ac (0.576, 0.424, 0.250)
Pt (0.240, 0.760, 0.250)
Pt (0.760, 0.240, 0.750)

Output
SG ... Cmcm, No. 63
Offset from the most stable computed form ... 0 meV/atom
ρ ... 6265 kg/m3